# 1
# Ba2YIn

Ba2YIn after structural relaxation (PBE, the Alexandria database).

```
4
Lattice="-4.2584 0.5728 2.9871 1.5436 -4.0253 2.9724 2.8070 3.5313 3.3245" Properties=species:S:1:pos:R:3 pbc="T T T"
In -0.7257 2.0521 3.1558
Y 2.1753 -0.2470 3.1484
Ba -1.3574 -1.7262 2.9797
Ba 0.0000 0.0000 0.0000
```

Values from the calculation:
* calculated formation energy: -0.02 eV per atom



# 2
# BaYIn2

BaYIn2 after structural relaxation (PBE, the Alexandria database).

```
4
Lattice="5.6648 0.0000 0.0000 2.8324 4.9059 0.0000 2.8324 1.6353 4.6253" Properties=species:S:1:pos:R:3 pbc="T T T"
In 2.8324 1.6353 1.1563
Ba 5.6648 3.2706 2.3126
Y 8.4972 4.9059 3.4690
In 0.0000 0.0000 0.0000
```

Values from the calculation:
* calculated formation energy: 0.04 eV per atom



# 3
# BaY2In

BaY2In after structural relaxation (PBE, the Alexandria database).

```
8
Lattice="4.9387 0.0000 0.0000 0.0000 4.9387 0.0000 2.4693 2.4693 11.7205" Properties=species:S:1:pos:R:3 pbc="T T T"
Ba 4.9387 2.4693 5.8602
In 2.4693 2.4693 0.0000
Y 3.7040 3.8402 8.7903
In 2.4693 4.9387 5.8602
Y 6.1733 6.0371 8.7903
Ba 0.0000 0.0000 0.0000
Y 1.3709 3.7040 2.9301
Y 3.5678 1.2347 2.9301
```

Values from the calculation:
* calculated formation energy: 0.19 eV per atom



# 4
# BaY2In

BaY2In after structural relaxation (PBE, the Alexandria database).

```
4
Lattice="11.5021 -0.0203 -0.0119 10.8822 3.7253 -0.0119 10.8822 1.8012 3.2609" Properties=species:S:1:pos:R:3 pbc="T T T"
Y 16.1464 2.6725 1.5711
Y 0.4869 0.0806 0.0474
Ba 8.3166 1.3765 0.8093
In 24.9499 4.1296 2.4278
```

Values from the calculation:
* calculated formation energy: -0.04 eV per atom



# 5
# Ba2YIn

Ba2YIn after structural relaxation (PBE, the Alexandria database).

```
4
Lattice="-0.1811 1.8849 -6.0811 5.5279 -1.9996 -2.4515 -4.3398 -3.3250 3.2676" Properties=species:S:1:pos:R:3 pbc="T T T"
Ba 1.9308 -2.6909 -1.7251
Y -0.9237 -0.7487 -3.5399
In 2.6734 -0.0573 -4.2663
Ba 0.0000 0.0000 0.0000
```

Values from the calculation:
* calculated formation energy: 0.02 eV per atom



# 6
# Ba2Y2In

Ba2Y2In after structural relaxation (PBE, the Alexandria database).

```
10
Lattice="-1.8453 4.4825 -6.7235 2.8951 -6.0721 -4.8427 -5.4475 -2.4741 -0.1544" Properties=species:S:1:pos:R:3 pbc="T T T"
Y 0.3120 -0.1337 -8.8633
Ba -3.2983 0.4772 -7.2737
Ba -2.8479 -0.7737 -3.1221
Y -0.7655 2.0033 -5.0934
Y 0.7378 -1.4559 -2.7029
Y 1.8153 -3.5928 -6.4729
In 0.0000 0.0000 0.0000
Ba -1.5498 -3.2900 -8.5985
Ba -1.0994 -4.5409 -4.4469
In 0.5249 -0.7948 -5.7831
```

Values from the calculation:
* calculated formation energy: 0.07 eV per atom



What is the calculated formation energy in the sixth record? 0.07 eV per atom